Computed, not measured: K2Gd after structural relaxation at the PBE level of DFT.

```
data_K2Gd
_chemical_formula_sum 'K8 Gd4'
_symmetry_space_group_name_H-M 'P 63/m m c'
_symmetry_Int_Tables_number 194
_symmetry_space_group_name_Hall '-P 6c 2c'
_cell_length_a 7.8335
_cell_length_b 7.8335
_cell_length_c 11.2854
_cell_angle_alpha 90.00
_cell_angle_beta 90.00
_cell_angle_gamma 120.00
loop_
_atom_site_label
_atom_site_fract_x
_atom_site_fract_y
_atom_site_fract_z
K1 0.0000 0.0000 0.0000
K2 0.1795 0.3591 0.2500
Gd1 0.3333 0.6667 0.5958
```

uncorrected energy	-19.59	eV/cell
crystal system	hexagonal
offset from the most stable computed form	0	meV/atom
volume	49.98	Å³/atom